<i>
# Th2AsOs (PBE, optimized geometry)
# density: 11.93 g/cm3
# magnetic moment: 0.0000 μB per atom
data_Th2AsOs
_chemical_formula_sum 'Th8 As4 Os4'
_cell_length_a 4.074
_cell_length_b 23.353
_cell_length_c 4.268
_cell_angle_alpha 90.00
_cell_angle_beta 90.00
_cell_angle_gamma 90.00
_symmetry_space_group_name_H-M 'C m c m'
_symmetry_Int_Tables_number 63
_symmetry_space_group_name_Hall '-C 2c 2'
loop_
_atom_site_label
_atom_site_fract_x
_atom_site_fract_y
_atom_site_fract_z
_atom_site_occupancy
Th1 0.000 0.062 0.250 1
Th2 0.000 0.325 0.250 1
As1 0.000 0.193 0.250 1
Os1 0.000 0.452 0.250 1

=====

<ii>
# Th2AsOs (PBE, optimized geometry)
# density: 11.45 g/cm3
# magnetic moment: 0.0000 μB per atom
data_Th2AsOs
_chemical_formula_sum 'Th6 As3 Os3'
_cell_length_a 4.1623
_cell_length_b 4.1623
_cell_length_c 21.1516
_cell_angle_alpha 90.00
_cell_angle_beta 90.00
_cell_angle_gamma 120.00
_symmetry_space_group_name_H-M 'R -3 m'
_symmetry_Int_Tables_number 166
_symmetry_space_group_name_Hall '-R 3 2"'
loop_
_atom_site_label
_atom_site_fract_x
_atom_site_fract_y
_atom_site_fract_z
_atom_site_occupancy
Th1 0.0000 0.0000 0.2421 1
As1 0.0000 0.0000 0.0000 1
Os1 0.0000 0.0000 0.5000 1

=====

Stability check: which of them is most stable? <i>.

=====

<i>
# TiAs2Os (PBE, optimized geometry)
# density: 9.36 g/cm3
# magnetic moment: 0.0000 μB per atom
data_TiAs2Os
_chemical_formula_sum 'Ti4 As8 Os4'
_cell_length_a 4.009
_cell_length_b 4.009
_cell_length_c 17.136
_cell_angle_alpha 90.00
_cell_angle_beta 90.00
_cell_angle_gamma 90.00
_symmetry_space_group_name_H-M 'I -4 2 d'
_symmetry_Int_Tables_number 122
_symmetry_space_group_name_Hall 'I -4 2bw'
loop_
_atom_site_label
_atom_site_fract_x
_atom_site_fract_y
_atom_site_fract_z
_atom_site_occupancy
Ti1 0.000 0.000 0.000 1
As1 0.237 0.250 0.625 1
Os1 0.000 0.000 0.500 1

=====

<ii>
# TiAs2Os (PBE, optimized geometry)
# density: 10.51 g/cm3
# magnetic moment: 0.4082 μB per atom
data_TiAs2Os
_chemical_formula_sum 'Ti4 As8 Os4'
_cell_length_a 6.259
_cell_length_b 6.259
_cell_length_c 6.259
_cell_angle_alpha 90.00
_cell_angle_beta 90.00
_cell_angle_gamma 90.00
_symmetry_space_group_name_H-M 'F m -3 m'
_symmetry_Int_Tables_number 225
_symmetry_space_group_name_Hall '-F 4 2 3'
loop_
_atom_site_label
_atom_site_fract_x
_atom_site_fract_y
_atom_site_fract_z
_atom_site_occupancy
Ti1 0.000 0.000 0.000 1
As1 0.250 0.250 0.250 1
Os1 0.000 0.000 0.500 1

=====

Stability check: which of them is most stable? <ii>.

=====

<i>
# TlAsOs2 (PBE, optimized geometry)
# density: 16.63 g/cm3
# magnetic moment: 0.0000 μB per atom
data_TlAsOs2
_chemical_formula_sum 'Tl1 As1 Os2'
_cell_length_a 3.084
_cell_length_b 3.084
_cell_length_c 6.929
_cell_angle_alpha 90.00
_cell_angle_beta 90.00
_cell_angle_gamma 90.00
_symmetry_space_group_name_H-M 'P 4/m m m'
_symmetry_Int_Tables_number 123
_symmetry_space_group_name_Hall '-P 4 2'
loop_
_atom_site_label
_atom_site_fract_x
_atom_site_fract_y
_atom_site_fract_z
_atom_site_occupancy
Tl1 0.000 0.000 0.000 1
As1 0.000 0.000 0.500 1
Os1 0.500 0.500 0.293 1

=====

<ii>
# TlAsOs2 (PBE, optimized geometry)
# density: 13.55 g/cm3
# magnetic moment: 0.0000 μB per atom
data_TlAsOs2
_chemical_formula_sum 'Tl1 As1 Os2'
_cell_length_a 2.842
_cell_length_b 3.737
_cell_length_c 7.611
_cell_angle_alpha 90.00
_cell_angle_beta 90.00
_cell_angle_gamma 90.00
_symmetry_space_group_name_H-M 'P m m 2'
_symmetry_Int_Tables_number 25
loop_
_symmetry_equiv_pos_as_xyz
'x,y,z'
'-x,-y,z'
'-x,y,z'
'x,-y,z'
loop_
_atom_site_label
_atom_site_fract_x
_atom_site_fract_y
_atom_site_fract_z
_atom_site_occupancy
Tl1 0.000 0.000 0.000 1
As1 0.500 0.500 0.381 1
Os1 0.000 0.000 0.573 1
Os2 0.500 0.500 0.720 1

=====

Stability check: which of them is most stable? <ii>.

=====

<i>
# TlAsOs3 (PBE, optimized geometry)
# density: 11.90 g/cm3
# magnetic moment: 0.0000 μB per atom
data_TlAsOs3
_chemical_formula_sum 'Tl1 As1 Os3'
_cell_length_a 4.913
_cell_length_b 4.913
_cell_length_c 4.913
_cell_angle_alpha 90.00
_cell_angle_beta 90.00
_cell_angle_gamma 90.00
_symmetry_space_group_name_H-M 'P m -3 m'
_symmetry_Int_Tables_number 221
_symmetry_space_group_name_Hall '-P 4 2 3'
loop_
_atom_site_label
_atom_site_fract_x
_atom_site_fract_y
_atom_site_fract_z
_atom_site_occupancy
Tl1 0.000 0.000 0.000 1
As1 0.500 0.500 0.500 1
Os1 0.000 0.000 0.500 1

=====

<ii>
# TlAsOs3 (PBE, optimized geometry)
# density: 14.75 g/cm3
# magnetic moment: 0.0000 μB per atom
data_TlAsOs3
_chemical_formula_sum 'Tl1 As1 Os3'
_cell_length_a 4.574
_cell_length_b 4.574
_cell_length_c 4.574
_cell_angle_alpha 90.00
_cell_angle_beta 90.00
_cell_angle_gamma 90.00
_symmetry_space_group_name_H-M 'P m -3 m'
_symmetry_Int_Tables_number 221
_symmetry_space_group_name_Hall '-P 4 2 3'
loop_
_atom_site_label
_atom_site_fract_x
_atom_site_fract_y
_atom_site_fract_z
_atom_site_occupancy
Tl1 0.000 0.000 0.000 1
As1 0.500 0.500 0.500 1
Os1 0.000 0.500 0.500 1

=====

Stability check: which of them is most stable? <ii>.

=====

<i>
# V2AsOs (PBE, optimized geometry)
# density: 7.10 g/cm3
# magnetic moment: 0.7113 μB per atom
data_V2AsOs
_chemical_formula_sum 'V8 As4 Os4'
_cell_length_a 5.784
_cell_length_b 5.784
_cell_length_c 10.264
_cell_angle_alpha 90.00
_cell_angle_beta 90.00
_cell_angle_gamma 90.00
_symmetry_space_group_name_H-M 'I -4 2 d'
_symmetry_Int_Tables_number 122
_symmetry_space_group_name_Hall 'I -4 2bw'
loop_
_atom_site_label
_atom_site_fract_x
_atom_site_fract_y
_atom_site_fract_z
_atom_site_occupancy
V1 0.239 0.250 0.125 1
As1 0.000 0.000 0.500 1
Os1 0.000 0.000 0.000 1

=====

<ii>
# V2AsOs (PBE, optimized geometry)
# density: 10.74 g/cm3
# magnetic moment: 0.2872 μB per atom
data_V2AsOs
_chemical_formula_sum 'V8 As4 Os4'
_cell_length_a 6.100
_cell_length_b 6.100
_cell_length_c 6.100
_cell_angle_alpha 90.00
_cell_angle_beta 90.00
_cell_angle_gamma 90.00
_symmetry_space_group_name_H-M 'F m -3 m'
_symmetry_Int_Tables_number 225
_symmetry_space_group_name_Hall '-F 4 2 3'
loop_
_atom_site_label
_atom_site_fract_x
_atom_site_fract_y
_atom_site_fract_z
_atom_site_occupancy
V1 0.250 0.250 0.250 1
As1 0.000 0.000 0.000 1
Os1 0.000 0.000 0.500 1

=====

Stability check: which of them is most stable? <ii>.

=====

<i>
# YAs3Os (PBE, optimized geometry)
# density: 5.64 g/cm3
# magnetic moment: 0.5832 μB per atom
data_YAs3Os
_chemical_formula_sum 'Y1 As3 Os1'
_cell_length_a 5.295
_cell_length_b 5.295
_cell_length_c 5.295
_cell_angle_alpha 90.00
_cell_angle_beta 90.00
_cell_angle_gamma 90.00
_symmetry_space_group_name_H-M 'P m -3 m'
_symmetry_Int_Tables_number 221
_symmetry_space_group_name_Hall '-P 4 2 3'
loop_
_atom_site_label
_atom_site_fract_x
_atom_site_fract_y
_atom_site_fract_z
_atom_site_occupancy
Y1 0.000 0.000 0.000 1
As1 0.000 0.000 0.500 1
Os1 0.500 0.500 0.500 1

=====

<ii>
# YAs3Os (PBE, optimized geometry)
# density: 7.29 g/cm3
# magnetic moment: 0.0000 μB per atom
data_YAs3Os
_chemical_formula_sum 'Y1 As3 Os1'
_cell_length_a 4.859
_cell_length_b 4.859
_cell_length_c 4.859
_cell_angle_alpha 90.00
_cell_angle_beta 90.00
_cell_angle_gamma 90.00
_symmetry_space_group_name_H-M 'P m -3 m'
_symmetry_Int_Tables_number 221
_symmetry_space_group_name_Hall '-P 4 2 3'
loop_
_atom_site_label
_atom_site_fract_x
_atom_site_fract_y
_atom_site_fract_z
_atom_site_occupancy
Y1 0.000 0.000 0.000 1
As1 0.000 0.500 0.500 1
Os1 0.500 0.500 0.500 1

=====

Stability check: which of them is most stable? <ii>.

=====

<i>
# YZrAsOs2 (PBE, optimized geometry)
# density: 9.94 g/cm3
# magnetic moment: 0.0002 μB per atom
data_YZrAsOs2
_chemical_formula_sum 'Y1 Zr1 As1 Os2'
_cell_length_a 4.593
_cell_length_b 4.593
_cell_length_c 5.032
_cell_angle_alpha 90.00
_cell_angle_beta 90.00
_cell_angle_gamma 90.00
_symmetry_space_group_name_H-M 'P 4/m m m'
_symmetry_Int_Tables_number 123
_symmetry_space_group_name_Hall '-P 4 2'
loop_
_atom_site_label
_atom_site_fract_x
_atom_site_fract_y
_atom_site_fract_z
_atom_site_occupancy
Y1 0.000 0.000 0.000 1
Zr1 0.500 0.500 0.000 1
As1 0.000 0.000 0.500 1
Os1 0.000 0.500 0.500 1

=====

<ii>
# YZrAsOs2 (PBE, optimized geometry)
# density: 10.03 g/cm3
# magnetic moment: 0.0000 μB per atom
data_YZrAsOs2
_chemical_formula_sum 'Y1 Zr1 As1 Os2'
_cell_length_a 4.647
_cell_length_b 4.647
_cell_length_c 4.873
_cell_angle_alpha 90.00
_cell_angle_beta 90.00
_cell_angle_gamma 90.00
_symmetry_space_group_name_H-M 'P 4/m m m'
_symmetry_Int_Tables_number 123
_symmetry_space_group_name_Hall '-P 4 2'
loop_
_atom_site_label
_atom_site_fract_x
_atom_site_fract_y
_atom_site_fract_z
_atom_site_occupancy
Y1 0.000 0.000 0.000 1
Zr1 0.500 0.500 0.000 1
As1 0.500 0.500 0.500 1
Os1 0.000 0.500 0.500 1

=====

Stability check: which of them is most stable? <ii>.

=====

<i>
# ZnAsOs (PBE, optimized geometry)
# density: 11.21 g/cm3
# magnetic moment: 0.0000 μB per atom
data_ZnAsOs
_chemical_formula_sum 'Zn1 As1 Os1'
_cell_length_a 3.0063
_cell_length_b 3.0063
_cell_length_c 6.2569
_cell_angle_alpha 90.00
_cell_angle_beta 90.00
_cell_angle_gamma 120.00
_symmetry_space_group_name_H-M 'P 3 m 1'
_symmetry_Int_Tables_number 156
loop_
_symmetry_equiv_pos_as_xyz
'x,y,z'
'-y,x-y,z'
'-x+y,-x,z'
'-y,-x,z'
'-x+y,y,z'
'x,x-y,z'
loop_
_atom_site_label
_atom_site_fract_x
_atom_site_fract_y
_atom_site_fract_z
_atom_site_occupancy
Zn1 0.0000 0.0000 0.0000 1
As1 0.6667 0.3333 0.3936 1
Os1 0.3333 0.6667 0.6745 1

=====

<ii>
# ZnAsOs (PBE, optimized geometry)
# density: 10.59 g/cm3
# magnetic moment: 0.0000 μB per atom
data_ZnAsOs
_chemical_formula_sum 'Zn2 As2 Os2'
_cell_length_a 2.994
_cell_length_b 2.994
_cell_length_c 11.565
_cell_angle_alpha 90.00
_cell_angle_beta 90.00
_cell_angle_gamma 90.00
_symmetry_space_group_name_H-M 'I 4 m m'
_symmetry_Int_Tables_number 107
_symmetry_space_group_name_Hall 'I 4 -2'
loop_
_atom_site_label
_atom_site_fract_x
_atom_site_fract_y
_atom_site_fract_z
_atom_site_occupancy
Zn1 0.000 0.000 0.000 1
As1 0.000 0.000 0.266 1
Os1 0.000 0.000 0.643 1

=====

Stability check: which of them is most stable? <i>.